{"formula": "Ba5Na12Ag3", "functional": "GGA-PBE", "state": "optimized geometry", "lattice_angstrom": [[-9.955, 9.955, 9.955], [9.955, -9.955, 9.955], [9.955, 9.955, -9.955]], "species": ["Ba", "Ba", "Ba", "Ba", "Ba", "Ba", "Ba", "Ba", "Ba", "Ba", "Ba", "Ba", "Ba", "Ba", "Ba", "Ba", "Ba", "Ba", "Ba", "Ba", "Na", "Na", "Na", "Na", "Na", "Na", "Na", "Na", "Na", "Na", "Na", "Na", "Na", "Na", "Na", "Na", "Na", "Na", "Na", "Na", "Na", "Na", "Na", "Na", "Na", "Na", "Na", "Na", "Na", "Na", "Na", "Na", "Na", "Na", "Na", "Na", "Na", "Na", "Na", "Na", "Na", "Na", "Na", "Na", "Na", "Na", "Na", "Na", "Ag", "Ag", "Ag", "Ag", "Ag", "Ag", "Ag", "Ag", "Ag", "Ag", "Ag", "Ag"], "frac_coords": [[0.000, 0.000, 0.000], [0.000, 0.000, 0.500], [0.000, 0.500, 0.000], [0.000, 0.500, 0.500], [0.125, 0.750, 0.875], [0.125, 0.875, 0.250], [0.250, 0.125, 0.875], [0.250, 0.625, 0.375], [0.375, 0.250, 0.625], [0.375, 0.625, 0.750], [0.500, 0.000, 0.000], [0.500, 0.000, 0.500], [0.500, 0.500, 0.000], [0.500, 0.500, 0.500], [0.625, 0.375, 0.250], [0.625, 0.750, 0.375], [0.750, 0.375, 0.625], [0.750, 0.875, 0.125], [0.875, 0.125, 0.750], [0.875, 0.250, 0.125], [0.038, 0.641, 0.381], [0.038, 0.897, 0.657], [0.103, 0.259, 0.141], [0.103, 0.343, 0.962], [0.119, 0.759, 0.657], [0.119, 0.859, 0.462], [0.141, 0.103, 0.259], [0.141, 0.538, 0.881], [0.157, 0.259, 0.619], [0.157, 0.397, 0.538], [0.241, 0.343, 0.881], [0.241, 0.397, 0.359], [0.259, 0.141, 0.103], [0.259, 0.619, 0.157], [0.343, 0.881, 0.241], [0.343, 0.962, 0.103], [0.359, 0.241, 0.397], [0.359, 0.619, 0.962], [0.381, 0.038, 0.641], [0.381, 0.843, 0.741], [0.397, 0.359, 0.241], [0.397, 0.538, 0.157], [0.462, 0.119, 0.859], [0.462, 0.843, 0.603], [0.538, 0.157, 0.397], [0.538, 0.881, 0.141], [0.603, 0.462, 0.843], [0.603, 0.641, 0.759], [0.619, 0.157, 0.259], [0.619, 0.962, 0.359], [0.641, 0.381, 0.038], [0.641, 0.759, 0.603], [0.657, 0.038, 0.897], [0.657, 0.119, 0.759], [0.741, 0.381, 0.843], [0.741, 0.859, 0.897], [0.759, 0.603, 0.641], [0.759, 0.657, 0.119], [0.843, 0.603, 0.462], [0.843, 0.741, 0.381], [0.859, 0.462, 0.119], [0.859, 0.897, 0.741], [0.881, 0.141, 0.538], [0.881, 0.241, 0.343], [0.897, 0.657, 0.038], [0.897, 0.741, 0.859], [0.962, 0.103, 0.343], [0.962, 0.359, 0.619], [0.125, 0.250, 0.375], [0.125, 0.375, 0.750], [0.250, 0.375, 0.125], [0.250, 0.875, 0.625], [0.375, 0.125, 0.250], [0.375, 0.750, 0.125], [0.625, 0.250, 0.875], [0.625, 0.875, 0.750], [0.750, 0.125, 0.375], [0.750, 0.625, 0.875], [0.875, 0.625, 0.250], [0.875, 0.750, 0.625]], "spacegroup": "Ia-3d (230)", "energy_ev_per_atom": -1.38, "formation_enthalpy_0k_ev_per_fu": 6.5}